(1)
Sr2LiW2 | PBE | optimized geometry

Values from the calculation:
Space-group type: P4/mbm (127)

a b c (Å): 9.501 9.501 3.138
angles (deg): 90.00 90.00 90.00
Positions (direct):
Sr (0.298, 0.798, 0.000)
Sr (0.798, 0.702, 0.000)
Sr (0.702, 0.202, 0.000)
Sr (0.202, 0.298, 0.000)
W (0.085, 0.585, 0.500)
W (0.585, 0.915, 0.500)
W (0.915, 0.415, 0.500)
W (0.415, 0.085, 0.500)
Li (0.000, 0.000, 0.000)
Li (0.500, 0.500, 0.000)

(2)
SrLi3W | PBE | optimized geometry

Values from the calculation:
Space-group type: Pm-3m (221)

a b c (Å): 4.579 4.579 4.579
angles (deg): 90.00 90.00 90.00
Last column: magnetic moment on the atom in μB.
Positions (direct):
Sr (0.000, 0.000, 0.000)  -0.02
W (0.500, 0.500, 0.500)  0.77
Li (0.000, 0.500, 0.000)  -0.01
Li (0.000, 0.000, 0.500)  -0.01
Li (0.500, 0.000, 0.000)  0.00

(3)
SrLiW3 | PBE | optimized geometry

Values from the calculation:
Space-group type: Pm-3m (221)

a b c (Å): 4.542 4.542 4.542
angles (deg): 90.00 90.00 90.00
Positions (direct):
Sr (0.500, 0.500, 0.500)
W (0.000, 0.500, 0.000)
W (0.000, 0.000, 0.500)
W (0.500, 0.000, 0.000)
Li (0.000, 0.000, 0.000)

(4)
Sr3LiW | PBE | optimized geometry

Values from the calculation:
Space-group type: Pm-3m (221)

a b c (Å): 5.620 5.620 5.620
angles (deg): 90.00 90.00 90.00
Positions (direct):
Sr (0.000, 0.500, 0.000)
Sr (0.000, 0.000, 0.500)
Sr (0.500, 0.000, 0.000)
W (0.500, 0.500, 0.500)
Li (0.000, 0.000, 0.000)

Values of relative energy among the computed polymorphs, in order: 355, 757, 0, 538, all in meV/atom.
Values of energy of formation from the pure elements, in order: 1.11, 1.82, 1.95, 1.49, all in eV/atom.
Values of total moment, in order: 0.00, 0.93, 0.00, 0.00, all in μB/cell.